VASP calculation (PBE with a Hubbard U) on a geometry-optimized Li5Co3O3 structure.

```
11
Lattice="5.995 0.000 0.000 -2.998 5.192 0.000 0.000 0.000 3.807" Properties=species:S:1:pos:R:3 pbc="T T T"
Co -1.168 2.023 0.000
Co 2.336 0.000 0.000
Co 1.830 3.169 0.000
O -1.100 1.906 1.903
O 1.897 3.287 1.903
O 2.201 0.000 1.903
Li 4.444 0.000 1.903
Li 0.776 1.344 1.903
Li -2.222 3.848 1.903
Li 0.000 3.461 1.903
Li 2.998 1.731 1.903
```

Summary:
Theoretical density: 3.64 g cm⁻³
Total moment: 4.58 μB/f.u.
Total DFT energy (no corrections): -4.449 eV per atom